# 1
Crystalline YTiO2F at its relaxed geometry. Source: the Alexandria database, functional GGA-PBE.

Summary:
E_form (uncorrected) ... -2625.1 meV/atom
Calculated density ... 4963 kg/m3
Fermi-level density of states ... 0.6959 states/eV/atom
Space-group type ... No. 123
Raw total energy ... -7.8544 eV per atom

```
YTiO2F
1.0
3.9747 0.0000 0.0000
0.0000 3.9747 0.0000
0.0000 0.0000 3.9768
F O Y Ti
1 2 1 1
Direct
0.0000 0.0000 0.5000
0.5000 0.0000 0.0000
0.0000 0.5000 0.0000
0.5000 0.5000 0.5000
0.0000 0.0000 0.0000
```


# 2
Crystalline YTiO2F at its relaxed geometry. Source: the Alexandria database, functional GGA-PBE.

Summary:
E_form (uncorrected) ... -2077.5 meV/atom
Calculated density ... 3815 kg/m3
Fermi-level density of states ... 0.3089 states/eV/atom
Space-group type ... No. 123
Raw total energy ... -7.3069 eV per atom

```
YTiO2F
1.0
-2.4111 -2.9600 -2.2089
-1.6938 -1.4580 3.8026
-3.1264 2.7881 -0.3235
O F Ti Y
2 1 1 1
Direct
0.0000 0.5000 0.0000
0.5000 0.0000 0.0000
0.0000 0.0000 0.5000
0.5000 0.5000 0.5000
0.0000 0.0000 0.0000
```


# 3
Crystalline TiZnOF2 at its relaxed geometry. Source: the Alexandria database, functional GGA-PBE.

Summary:
E_form (uncorrected) ... -2141.7 meV/atom
Calculated density ... 4252 kg/m3
Distance to the lowest polymorph of the same formula ... 0.0000 eV per atom
Fermi-level density of states ... 0.7629 states/eV/atom
Space-group type ... No. 123
Raw total energy ... -5.7157 eV per atom

```
TiZnOF2
1.0
4.1412 0.0000 0.0000
0.0000 4.1412 0.0000
0.0000 0.0000 3.8092
F O Ti Zn
2 1 1 1
Direct
0.5000 0.0000 0.0000
0.0000 0.5000 0.0000
0.0000 0.0000 0.5000
0.0000 0.0000 0.0000
0.5000 0.5000 0.5000
```


# 4
Crystalline TiZnOF2 at its relaxed geometry. Source: the Alexandria database, functional GGA-PBE.

Summary:
E_form (uncorrected) ... -1485.9 meV/atom
Calculated density ... 4428 kg/m3
Distance to the lowest polymorph of the same formula ... 0.6559 eV per atom
Fermi-level density of states ... 0.1212 states/eV/atom
Space-group type ... No. 123
Raw total energy ... -5.0598 eV per atom

```
TiZnOF2
1.0
3.9529 0.0000 0.0000
0.0000 3.9529 0.0000
0.0000 0.0000 4.0143
F O Ti Zn
2 1 1 1
Direct
0.0000 0.5000 0.0000
0.5000 0.0000 0.0000
0.0000 0.0000 0.5000
0.5000 0.5000 0.5000
0.0000 0.0000 0.0000
```


# 5
Crystalline ZrTiOF2 at its relaxed geometry. Source: the Alexandria database, functional GGA-PBE.

Summary:
E_form (uncorrected) ... -1876.2 meV/atom
Calculated density ... 4100 kg/m3
Fermi-level density of states ... 0.8807 states/eV/atom
Space-group type ... No. 123
Raw total energy ... -6.9050 eV per atom

```
ZrTiOF2
1.0
4.3398 0.0000 0.0000
0.0000 4.3398 0.0000
0.0000 0.0000 4.1523
O F Zr Ti
1 2 1 1
Direct
0.0000 0.0000 0.5000
0.0000 0.5000 0.0000
0.5000 0.0000 0.0000
0.0000 0.0000 0.0000
0.5000 0.5000 0.5000
```


# 6
Crystalline ZrTiOF2 at its relaxed geometry. Source: the Alexandria database, functional GGA-PBE.

Summary:
E_form (uncorrected) ... -1875.0 meV/atom
Calculated density ... 4745 kg/m3
Fermi-level density of states ... 0.6273 states/eV/atom
Space-group type ... No. 123
Raw total energy ... -6.9038 eV per atom

```
ZrTiOF2
1.0
4.1285 0.0000 0.0000
0.0000 4.1285 0.0000
0.0000 0.0000 3.9644
O F Zr Ti
1 2 1 1
Direct
0.0000 0.0000 0.5000
0.5000 0.0000 0.0000
0.0000 0.5000 0.0000
0.5000 0.5000 0.5000
0.0000 0.0000 0.0000
```


# 7
Crystalline Tl9O3F2 at its relaxed geometry. Source: the Alexandria database, functional GGA-PBE.

Summary:
E_form (uncorrected) ... -766.0 meV/atom
Calculated density ... 6784 kg/m3
Fermi-level density of states ... 0.2959 states/eV/atom
Space-group type ... No. 176
Raw total energy ... -3.6169 eV per atom

```
Tl9O3F2
1.0
-1.0310 6.8802 5.1265
-4.9083 -7.0192 1.1493
9.8900 -5.4027 9.2400
O Tl F
6 18 4
Direct
0.2623 0.0314 0.2500
0.0314 0.7691 0.7500
0.2309 0.2623 0.7500
0.9686 0.2309 0.2500
0.7691 0.7377 0.2500
0.7377 0.9686 0.7500
0.2765 0.3064 0.2500
0.6936 0.9700 0.2500
0.6163 0.5932 0.3896
0.0300 0.7235 0.2500
0.5932 0.9768 0.6104
0.0232 0.6163 0.8896
0.6163 0.5932 0.1104
0.9700 0.2765 0.7500
0.5932 0.9768 0.8896
0.0232 0.6163 0.6104
0.3837 0.4068 0.6104
0.9768 0.3837 0.3896
0.4068 0.0232 0.1104
0.7235 0.6936 0.7500
0.9768 0.3837 0.1104
0.4068 0.0232 0.3896
0.3837 0.4068 0.8896
0.3064 0.0300 0.7500
0.3333 0.6667 0.8845
0.3333 0.6667 0.6155
0.6667 0.3333 0.3845
0.6667 0.3333 0.1155
```


# 8
Crystalline TlO2F2 at its relaxed geometry. Source: the Alexandria database, functional GGA-PBE.

Summary:
E_form (uncorrected) ... -10.0 meV/atom
Calculated density ... 7601 kg/m3
Distance to the lowest polymorph of the same formula ... 0.9394 eV per atom
Fermi-level density of states ... 0.3258 states/eV/atom
Space-group type ... No. 123
Raw total energy ... -3.2151 eV per atom

```
TlO2F2
1.0
4.0174 0.0000 0.0000
0.0000 4.0174 0.0000
0.0000 0.0000 3.7142
Tl O F
1 2 2
Direct
0.5000 0.5000 0.5000
0.0000 0.0000 0.0000
0.0000 0.0000 0.5000
0.5000 0.0000 0.0000
0.0000 0.5000 0.0000
```


# 9
Crystalline Tl3OF at its relaxed geometry. Source: the Alexandria database, functional GGA-PBE.

Summary:
E_form (uncorrected) ... -998.3 meV/atom
Calculated density ... 7319 kg/m3
Distance to the lowest polymorph of the same formula ... 0.0000 eV per atom
Space-group type ... No. 11
Raw total energy ... -3.7839 eV per atom

```
Tl3OF
1.0
-2.7314 1.4198 2.4072
-5.3087 -4.9501 -3.1040
4.9284 -4.1374 8.0324
F Tl O
2 6 2
Direct
0.2500 0.3425 0.4934
0.7500 0.6575 0.5066
0.7500 0.2077 0.0430
0.7500 0.4881 0.6737
0.2500 0.5119 0.3263
0.7500 0.9858 0.6690
0.2500 0.7923 0.9570
0.2500 0.0142 0.3310
0.2500 0.1039 0.1468
0.7500 0.8961 0.8532
```


# 10
Crystalline Tl8O6F at its relaxed geometry. Source: the Alexandria database, functional GGA-PBE.

Summary:
E_form (uncorrected) ... -602.1 meV/atom
Calculated density ... 9827 kg/m3
Fermi-level density of states ... 0.5043 states/eV/atom
Space-group type ... No. 148
Raw total energy ... -3.9722 eV per atom

```
Tl8O6F
1.0
6.6600 0.1254 0.1295
-0.0824 6.6607 0.1295
-0.0824 -0.0850 6.6614
O Tl F
6 8 1
Direct
0.3672 0.8129 0.6695
0.1871 0.3305 0.6328
0.8129 0.6695 0.3672
0.6328 0.1871 0.3305
0.3305 0.6328 0.1871
0.6695 0.3672 0.8129
0.8578 0.3684 0.1392
0.1392 0.8578 0.3684
0.6839 0.6839 0.6839
0.1422 0.6316 0.8608
0.3684 0.1392 0.8578
0.8608 0.1422 0.6316
0.6316 0.8608 0.1422
0.3161 0.3161 0.3161
0.0000 0.0000 0.0000
```


# 11
Crystalline TlO2F2 at its relaxed geometry. Source: the Alexandria database, functional GGA-PBE.

Summary:
E_form (uncorrected) ... 296.8 meV/atom
Calculated density ... 7332 kg/m3
Distance to the lowest polymorph of the same formula ... 1.2462 eV per atom
Fermi-level density of states ... 0.3483 states/eV/atom
Space-group type ... No. 123
Raw total energy ... -2.9083 eV per atom

```
TlO2F2
1.0
3.6327 0.0000 0.0000
0.0000 3.6327 0.0000
0.0000 0.0000 4.7092
F Tl O
2 1 2
Direct
0.0000 0.0000 0.5000
0.0000 0.0000 0.0000
0.5000 0.5000 0.5000
0.0000 0.5000 0.0000
0.5000 0.0000 0.0000
```


# 12
Crystalline TlO2F2 at its relaxed geometry. Source: the Alexandria database, functional GGA-PBE.

Summary:
E_form (uncorrected) ... -898.6 meV/atom
Calculated density ... 4896 kg/m3
Distance to the lowest polymorph of the same formula ... 0.0508 eV per atom
Fermi-level density of states ... 0.2368 states/eV/atom
Space-group type ... No. 127
Raw total energy ... -4.1037 eV per atom

```
TlO2F2
1.0
-0.5081 5.9644 2.4248
-3.6486 1.7373 -5.0380
-3.6652 -1.2203 2.2337
O Tl F
4 2 4
Direct
0.9328 0.4328 0.5000
0.4328 0.0672 0.5000
0.5672 0.9328 0.5000
0.0672 0.5672 0.5000
0.5000 0.5000 0.0000
0.0000 0.0000 0.0000
0.2314 0.2686 0.0000
0.2686 0.7686 0.0000
0.7314 0.2314 0.0000
0.7686 0.7314 0.0000
```